The following is a DFT calculation (PBE-GGA) of a geometry-optimized SmEr9Tm2 structure.

Cell: 3.477 11.098 11.098 Å, 120.00 90.00 90.00°
Fractional positions:
Er  0.500  0.822  0.643
Tm  0.000  0.667  0.333
Er  0.500  0.178  0.822
Tm  0.000  0.333  0.667
Er  0.500  0.822  0.178
Er  0.500  0.643  0.822
Er  0.000  0.500  0.000
Er  0.500  0.178  0.357
Sm  0.000  0.000  0.000
Er  0.500  0.357  0.178
Er  0.000  0.000  0.500
Er  0.000  0.500  0.500

- size of the total moment (μB per cell) = 0.00
- DOS(E_F) (states/eV per cell) = 16.84
- final energy (eV/cell) = -54.214

---

The following is a DFT calculation (PBE-GGA) of a geometry-optimized SmErTm2 structure.

Cell: 4.976 4.992 4.992 Å, 90.00 90.00 90.00°
Fractional positions:
Tm  0.000  0.500  0.000
Tm  0.000  0.000  0.500
Er  0.500  0.500  0.500
Sm  0.500  0.000  0.000

- size of the total moment (μB per cell) = 0.04
- DOS(E_F) (states/eV per cell) = 5.64
- final energy (eV/cell) = -18.071

---

The following is a DFT calculation (PBE-GGA) of a geometry-optimized SmErTm structure.

Cell: 3.436 5.617 5.617 Å, 120.00 90.00 90.00°
Fractional positions:
Sm  0.667  0.667  0.333
Tm  0.167  0.000  0.000
Er  0.167  0.333  0.667

- size of the total moment (μB per cell) = 0.00
- DOS(E_F) (states/eV per cell) = 4.55
- final energy (eV/cell) = -13.525

---

The following is a DFT calculation (PBE-GGA) of a geometry-optimized Sm3Er3Tm structure.

Cell: 5.688 9.550 9.551 Å, 120.00 90.00 90.00°
Fractional positions:
Er  0.250  0.522  0.617
Er  0.750  0.617  0.095
Tm  0.750  0.333  0.667
Sm  0.250  0.242  0.194
Sm  0.750  0.758  0.806
Er  0.250  0.383  0.905
Sm  0.750  0.194  0.951
Sm  0.250  0.952  0.758
Sm  0.250  0.806  0.049
Sm  0.750  0.048  0.242
Tm  0.250  0.667  0.333
Er  0.250  0.095  0.478
Er  0.750  0.905  0.522
Er  0.750  0.478  0.383

- size of the total moment (μB per cell) = 0.00
- DOS(E_F) (states/eV per cell) = 25.98
- final energy (eV/cell) = -64.415

---

The following is a DFT calculation (PBE-GGA) of a geometry-optimized Sm3Er3Tm structure.

Cell: 6.173 6.173 14.654 Å, 77.84 77.84 60.00°
Fractional positions:
Er  0.602  0.935  0.194
Er  0.935  0.269  0.194
Er  0.065  0.731  0.806
Sm  0.800  0.131  0.606
Sm  0.462  0.800  0.606
Sm  0.538  0.200  0.394
Sm  0.131  0.462  0.606
Sm  0.200  0.869  0.394
Er  0.269  0.602  0.194
Er  0.398  0.065  0.806
Er  0.731  0.398  0.806
Tm  0.667  0.667  0.000
Sm  0.869  0.538  0.394
Tm  0.333  0.333  0.000

- size of the total moment (μB per cell) = 0.00
- DOS(E_F) (states/eV per cell) = 20.89
- final energy (eV/cell) = -62.346

---

The following is a DFT calculation (PBE-GGA) of a geometry-optimized Sm5ErTm6 structure.

Cell: 5.029 9.961 9.391 Å, 122.03 105.56 90.00°
Fractional positions:
Sm  0.667  0.667  0.333
Sm  0.665  0.165  0.331
Tm  0.834  0.584  0.667
Tm  0.500  0.249  0.000
Sm  0.335  0.835  0.669
Tm  0.500  0.751  0.000
Sm  0.000  0.500  0.000
Tm  0.166  0.917  0.333
Er  0.000  0.000  0.000
Sm  0.333  0.333  0.667
Tm  0.834  0.083  0.667
Tm  0.166  0.416  0.333

- size of the total moment (μB per cell) = 0.00
- DOS(E_F) (states/eV per cell) = 15.76
- final energy (eV/cell) = -54.727

---

The following is a DFT calculation (PBE-GGA) of a geometry-optimized Sm5Er2Tm3 structure.

Cell: 10.869 9.851 9.851 Å, 56.63 56.52 56.52°
Fractional positions:
Er  0.620  0.967  0.793
Tm  0.624  0.624  0.128
Er  0.880  0.207  0.033
Sm  0.503  0.247  0.247
Tm  0.124  0.128  0.624
Sm  0.250  0.500  0.500
Sm  0.750  0.500  0.500
Sm  0.873  0.525  0.730
Sm  0.497  0.753  0.753
Tm  0.876  0.872  0.376
Sm  0.373  0.730  0.525
Sm  0.127  0.475  0.270
Tm  0.250  0.000  0.000
Sm  0.003  0.247  0.247
Sm  0.997  0.753  0.753
Tm  0.750  0.000  0.000
Er  0.380  0.033  0.207
Sm  0.627  0.270  0.475
Er  0.120  0.793  0.967
Tm  0.376  0.376  0.872

- size of the total moment (μB per cell) = 0.00
- DOS(E_F) (states/eV per cell) = 30.61
- final energy (eV/cell) = -84.343

---

The following is a DFT calculation (PBE-GGA) of a geometry-optimized Sm8ErTm6 structure.

Cell: 9.016 9.016 8.654 Å, 58.61 58.61 60.00°
Fractional positions:
Sm  0.751  0.717  0.421
Sm  0.283  0.888  0.579
Sm  0.888  0.249  0.579
Sm  0.578  0.578  0.267
Tm  0.460  0.902  0.883
Sm  0.717  0.112  0.421
Tm  0.246  0.540  0.117
Tm  0.098  0.246  0.117
Tm  0.540  0.098  0.117
Tm  0.902  0.754  0.883
Sm  0.249  0.283  0.579
Sm  0.422  0.422  0.733
Er  0.000  0.000  0.000
Sm  0.112  0.751  0.421
Tm  0.754  0.460  0.883

- size of the total moment (μB per cell) = 0.00
- DOS(E_F) (states/eV per cell) = 23.69
- final energy (eV/cell) = -67.183

---

The following is a DFT calculation (PBE-GGA) of a geometry-optimized Sm7Er16Tm6 structure.

Cell: 10.937 10.937 10.937 Å, 60.00 60.00 60.00°
Fractional positions:
Er  0.613  0.613  0.160
Er  0.840  0.387  0.387
Sm  0.000  0.500  0.500
Tm  0.775  0.225  0.225
Tm  0.225  0.775  0.225
Tm  0.225  0.775  0.775
Sm  0.500  0.000  0.500
Er  0.552  0.149  0.149
Sm  0.500  0.000  0.000
Sm  0.000  0.500  0.000
Er  0.613  0.613  0.613
Er  0.851  0.851  0.448
Er  0.613  0.160  0.613
Er  0.448  0.851  0.851
Tm  0.775  0.225  0.775
Er  0.387  0.840  0.387
Er  0.851  0.448  0.851
Er  0.387  0.387  0.840
Er  0.851  0.851  0.851
Er  0.160  0.613  0.613
Sm  0.500  0.500  0.000
Er  0.387  0.387  0.387
Er  0.149  0.552  0.149
Sm  0.000  0.000  0.500
Sm  0.000  0.000  0.000
Er  0.149  0.149  0.552
Tm  0.225  0.225  0.775
Tm  0.775  0.775  0.225
Er  0.149  0.149  0.149

- size of the total moment (μB per cell) = 0.00
- DOS(E_F) (states/eV per cell) = 50.60
- final energy (eV/cell) = -127.405

---

The following is a DFT calculation (PBE-GGA) of a geometry-optimized Sm7Er3Tm structure.

Cell: 5.837 8.482 8.482 Å, 83.06 110.18 110.18°
Fractional positions:
Sm  0.692  0.981  0.403
Sm  0.308  0.597  0.019
Sm  0.789  0.791  0.791
Sm  0.692  0.403  0.981
Tm  0.500  0.500  0.500
Sm  0.211  0.209  0.209
Sm  0.000  0.500  0.500
Er  0.000  0.795  0.205
Sm  0.308  0.019  0.597
Er  0.500  0.000  0.000
Er  0.000  0.205  0.795

- size of the total moment (μB per cell) = 0.01
- DOS(E_F) (states/eV per cell) = 14.87
- final energy (eV/cell) = -48.500

---

The following is a DFT calculation (PBE-GGA) of a geometry-optimized Sm2ErTm2 structure.

Cell: 5.644 3.616 16.027 Å, 96.48 100.14 90.00°
Fractional positions:
Er  0.831  0.581  0.662
Tm  0.053  0.803  0.107
Er  0.169  0.419  0.338
Sm  0.372  0.122  0.745
Sm  0.628  0.878  0.255
Tm  0.459  0.709  0.919
Sm  0.727  0.977  0.455
Tm  0.541  0.291  0.081
Tm  0.947  0.197  0.893
Sm  0.273  0.023  0.545

- size of the total moment (μB per cell) = 0.00
- DOS(E_F) (states/eV per cell) = 13.64
- final energy (eV/cell) = -44.531

---

The following is a DFT calculation (PBE-GGA) of a geometry-optimized SmErTm structure.

Cell: 3.573 3.574 8.794 Å, 89.89 78.20 59.95°
Fractional positions:
Er  0.212  0.515  0.102
Tm  0.762  0.740  0.778
Sm  0.649  0.297  0.443

- size of the total moment (μB per cell) = 0.00
- DOS(E_F) (states/eV per cell) = 3.74
- final energy (eV/cell) = -13.724

---

The following is a DFT calculation (PBE-GGA) of a geometry-optimized SmErTm2 structure.

Cell: 3.530 3.530 11.648 Å, 81.28 81.28 60.00°
Fractional positions:
Tm  0.251  0.251  0.247
Er  0.000  0.000  0.000
Sm  0.500  0.500  0.500
Tm  0.749  0.749  0.753

- size of the total moment (μB per cell) = 0.00
- DOS(E_F) (states/eV per cell) = 5.75
- final energy (eV/cell) = -18.125

---

The following is a DFT calculation (PBE-GGA) of a geometry-optimized Sm5ErTm3 structure.

Cell: 9.522 9.522 11.647 Å, 52.88 52.88 74.88°
Fractional positions:
Sm  0.848  0.343  0.258
Sm  0.745  0.255  0.000
Er  0.152  0.152  0.595
Sm  0.255  0.745  0.000
Sm  0.511  0.511  0.761
Tm  0.000  0.000  0.500
Sm  0.152  0.657  0.742
Sm  0.180  0.180  0.044
Sm  0.657  0.152  0.742
Tm  0.684  0.684  0.825
Sm  0.343  0.848  0.258
Sm  0.489  0.489  0.239
Er  0.848  0.848  0.405
Sm  0.820  0.820  0.956
Tm  0.000  0.000  0.000
Tm  0.661  0.661  0.354
Tm  0.339  0.339  0.646
Tm  0.316  0.316  0.175

- size of the total moment (μB per cell) = 0.01
- DOS(E_F) (states/eV per cell) = 26.32
- final energy (eV/cell) = -74.201

---

The following is a DFT calculation (PBE-GGA) of a geometry-optimized Sm2ErTm2 structure.

Cell: 3.563 3.561 16.146 Å, 63.85 83.66 59.97°
Fractional positions:
Sm  0.763  0.580  0.895
Er  0.500  0.500  0.500
Tm  0.296  0.712  0.695
Tm  0.704  0.288  0.305
Sm  0.237  0.420  0.105

- size of the total moment (μB per cell) = 0.00
- DOS(E_F) (states/eV per cell) = 6.51
- final energy (eV/cell) = -22.898

---

The following is a DFT calculation (PBE-GGA) of a geometry-optimized SmEr4Tm4 structure.

Cell: 4.956 7.857 7.857 Å, 84.29 71.62 71.62°
Fractional positions:
Tm  0.000  0.334  0.666
Er  0.667  0.000  0.665
Sm  0.000  0.000  0.000
Er  0.333  0.000  0.335
Tm  0.334  0.666  0.666
Tm  0.666  0.334  0.334
Tm  0.000  0.666  0.334
Er  0.333  0.335  0.000
Er  0.667  0.665  0.000

- size of the total moment (μB per cell) = 0.00
- DOS(E_F) (states/eV per cell) = 12.63
- final energy (eV/cell) = -40.632

---

The following is a DFT calculation (PBE-GGA) of a geometry-optimized Sm5Er3Tm structure.

Cell: 9.533 9.533 11.662 Å, 52.84 52.84 74.89°
Fractional positions:
Sm  0.746  0.254  0.000
Er  0.685  0.685  0.824
Tm  0.152  0.152  0.595
Sm  0.847  0.341  0.258
Sm  0.490  0.490  0.238
Sm  0.510  0.510  0.762
Er  0.315  0.315  0.176
Sm  0.820  0.820  0.956
Er  0.662  0.662  0.354
Sm  0.180  0.180  0.044
Er  0.000  0.000  0.000
Tm  0.848  0.848  0.405
Sm  0.659  0.153  0.742
Er  0.338  0.338  0.646
Er  0.000  0.000  0.500
Sm  0.341  0.847  0.258
Sm  0.153  0.659  0.742
Sm  0.254  0.746  0.000

- size of the total moment (μB per cell) = 0.00
- DOS(E_F) (states/eV per cell) = 26.49
- final energy (eV/cell) = -74.508

---

The following is a DFT calculation (PBE-GGA) of a geometry-optimized Sm4ErTm structure.

Cell: 3.590 9.473 8.031 Å, 126.36 63.35 100.96°
Fractional positions:
Sm  0.833  0.670  0.502
Sm  0.333  0.670  0.002
Sm  0.667  0.330  0.998
Er  0.000  0.000  0.000
Sm  0.167  0.330  0.498
Tm  0.500  0.000  0.500

- size of the total moment (μB per cell) = 0.00
- DOS(E_F) (states/eV per cell) = 8.07
- final energy (eV/cell) = -27.790

---

The following is a DFT calculation (PBE-GGA) of a geometry-optimized SmErTm structure.

Cell: 3.537 3.537 7.933 Å, 102.88 102.88 90.00°
Fractional positions:
Tm  0.668  0.668  0.336
Er  0.332  0.332  0.663
Sm  0.000  0.000  0.000

- size of the total moment (μB per cell) = 0.00
- DOS(E_F) (states/eV per cell) = 4.21
- final energy (eV/cell) = -13.680

---

The following is a DFT calculation (PBE-GGA) of a geometry-optimized Sm8Er6Tm structure.

Cell: 9.043 9.043 8.659 Å, 58.52 58.52 60.00°
Fractional positions:
Sm  0.112  0.750  0.421
Sm  0.750  0.718  0.421
Tm  0.000  0.000  0.000
Sm  0.577  0.577  0.268
Sm  0.282  0.888  0.579
Sm  0.423  0.423  0.732
Er  0.244  0.540  0.117
Er  0.460  0.901  0.883
Er  0.540  0.099  0.117
Sm  0.718  0.112  0.421
Sm  0.250  0.282  0.579
Er  0.756  0.460  0.883
Er  0.901  0.756  0.883
Er  0.099  0.244  0.117
Sm  0.888  0.250  0.579

- size of the total moment (μB per cell) = 0.00
- DOS(E_F) (states/eV per cell) = 23.46
- final energy (eV/cell) = -67.691

---

The following is a DFT calculation (PBE-GGA) of a geometry-optimized Sm3Er8Tm structure.

Cell: 8.332 8.332 8.332 Å, 95.05 117.13 117.13°
Fractional positions:
Er  0.000  0.254  0.765
Er  0.000  0.628  0.880
Er  0.000  0.880  0.628
Sm  0.000  0.500  0.500
Er  0.511  0.746  0.746
Tm  0.000  0.000  0.000
Sm  0.500  0.750  0.250
Er  0.748  0.120  0.120
Sm  0.500  0.250  0.750
Er  0.000  0.765  0.254
Er  0.252  0.372  0.372
Er  0.489  0.235  0.235

- size of the total moment (μB per cell) = 0.20
- DOS(E_F) (states/eV per cell) = 17.74
- final energy (eV/cell) = -47.157